Record 1
The following is a DFT calculation (PBE) of crystalline Sm6InTe5 at its relaxed geometry.

Calculated values
The raw total energy comes out at -5.149 eV per atom.

Cell and atoms, written as CIF:
```
data_Sm6InTe5
_cell_length_a 7.7350
_cell_length_b 13.3492
_cell_length_c 7.7200
_cell_angle_alpha 90.00
_cell_angle_beta 109.34
_cell_angle_gamma 90.00
_space_group_name_H-M_alt 'C 1 2/m 1'
_space_group_IT_number 12
loop_
_space_group_symop_operation_xyz
'x,y,z'
'-x,-y,-z'
'-x,y,-z'
'x,-y,z'
'x+1/2,y+1/2,z'
'-x+1/2,-y+1/2,-z'
'-x+1/2,y+1/2,-z'
'x+1/2,-y+1/2,z'
loop_
_atom_site_label
_atom_site_type_symbol
_atom_site_fract_x
_atom_site_fract_y
_atom_site_fract_z
_atom_site_occupancy
Sm1 Sm 0.2430 0.0000 0.2545 1
Sm2 Sm 0.2437 0.1628 0.7445 1
In1 In 0.0000 0.0000 0.5000 1
Te1 Te 0.0000 0.1696 0.0000 1
Te2 Te 0.0000 0.3339 0.5000 1
Te3 Te 0.0000 0.5000 0.0000 1
```


Record 2
The following is a DFT calculation (PBE) of crystalline ThBP at its relaxed geometry.

Calculated values
The raw total energy comes out at -7.334 eV per atom. The energy relative to the elements is -832 meV/atom.

Cell and atoms, written as CIF:
```
data_ThBP
_cell_length_a 4.1250
_cell_length_b 14.0393
_cell_length_c 3.7138
_cell_angle_alpha 90.00
_cell_angle_beta 90.00
_cell_angle_gamma 90.00
_space_group_name_H-M_alt 'C m c m'
_space_group_IT_number 63
_space_group_name_Hall '-C 2c 2'
loop_
_atom_site_label
_atom_site_type_symbol
_atom_site_fract_x
_atom_site_fract_y
_atom_site_fract_z
_atom_site_occupancy
Th1 Th 0.0000 0.1185 0.2500 1
B1 B 0.0000 0.4742 0.2500 1
P1 P 0.0000 0.3335 0.2500 1
```


Record 3
The following is a DFT calculation (PBE) of crystalline Pa2SiPd at its relaxed geometry.

Calculated values
The raw total energy comes out at -7.864 eV per atom.

Cell and atoms, written as CIF:
```
data_Pa2SiPd
_cell_length_a 5.8990
_cell_length_b 3.9043
_cell_length_c 8.1126
_cell_angle_alpha 90.00
_cell_angle_beta 110.53
_cell_angle_gamma 90.00
_space_group_name_H-M_alt 'P 1 21/m 1'
_space_group_IT_number 11
loop_
_space_group_symop_operation_xyz
'x,y,z'
'-x,-y,-z'
'-x,y+1/2,-z'
'x,-y+1/2,z'
loop_
_atom_site_label
_atom_site_type_symbol
_atom_site_fract_x
_atom_site_fract_y
_atom_site_fract_z
_atom_site_occupancy
Pa1 Pa 0.1953 0.2500 0.4125 1
Pa2 Pa 0.2140 0.2500 0.9365 1
Si1 Si 0.3318 0.7500 0.7041 1
Pd1 Pd 0.3667 0.7500 0.2208 1
```


Record 4
The following is a DFT calculation (PBE) of crystalline CsZrCd3 at its relaxed geometry.

Calculated values
The raw total energy comes out at -2.002 eV per atom. The energy relative to the elements is 428 meV/atom.

Cell and atoms, written as CIF:
```
data_CsZrCd3
_cell_length_a 5.8515
_cell_length_b 5.8515
_cell_length_c 5.8515
_cell_angle_alpha 90.00
_cell_angle_beta 90.00
_cell_angle_gamma 90.00
_space_group_name_H-M_alt 'P m -3 m'
_space_group_IT_number 221
_space_group_name_Hall '-P 4 2 3'
loop_
_atom_site_label
_atom_site_type_symbol
_atom_site_fract_x
_atom_site_fract_y
_atom_site_fract_z
_atom_site_occupancy
Cs1 Cs 0.0000 0.0000 0.0000 1
Zr1 Zr 0.5000 0.5000 0.5000 1
Cd1 Cd 0.0000 0.5000 0.5000 1
```


Record 5
The following is a DFT calculation (PBE) of crystalline IrPbS2Cl at its relaxed geometry.

Calculated values
The raw total energy comes out at -3.226 eV per atom.

Cell and atoms, written as CIF:
```
data_IrPbS2Cl
_cell_length_a 5.2318
_cell_length_b 5.2318
_cell_length_c 5.1135
_cell_angle_alpha 90.00
_cell_angle_beta 90.00
_cell_angle_gamma 90.00
_space_group_name_H-M_alt 'P 4/m m m'
_space_group_IT_number 123
_space_group_name_Hall '-P 4 2'
loop_
_atom_site_label
_atom_site_type_symbol
_atom_site_fract_x
_atom_site_fract_y
_atom_site_fract_z
_atom_site_occupancy
Ir1 Ir 0.0000 0.0000 0.0000 1
Pb1 Pb 0.5000 0.5000 0.5000 1
S1 S 0.0000 0.5000 0.5000 1
Cl1 Cl 0.5000 0.5000 0.0000 1
```


Record 6
The following is a DFT calculation (PBE) of crystalline Tb2Zn15Ni2 at its relaxed geometry.

Calculated values
The raw total energy comes out at -2.334 eV per atom. The energy relative to the elements is -232 meV/atom.

Cell and atoms, written as CIF:
```
data_Tb2Zn15Ni2
_cell_length_a 8.8747
_cell_length_b 8.8747
_cell_length_c 13.1054
_cell_angle_alpha 90.00
_cell_angle_beta 90.00
_cell_angle_gamma 120.00
_space_group_name_H-M_alt 'R -3 m'
_space_group_IT_number 166
_space_group_name_Hall '-R 3 2"'
loop_
_atom_site_label
_atom_site_type_symbol
_atom_site_fract_x
_atom_site_fract_y
_atom_site_fract_z
_atom_site_occupancy
Tb1 Tb 0.0000 0.0000 0.1680 1
Zn1 Zn 0.0000 0.2843 0.5000 1
Zn2 Zn 0.0000 0.5000 0.0000 1
Zn3 Zn 0.0010 0.5005 0.6507 1
Ni1 Ni 0.0000 0.0000 0.3978 1
```